Entry 1:
# FeNiRh

A PBEsol-optimized structure of FeNiRh (meta-GGA SCAN, the Alexandria database).

Properties
E_tot, eV per atom: -22.76
Magnetic moment, μB per cell: 4.60
Symmetry: No. 156

Geometry as POSCAR:
```
FeNiRh
1.0
4.0443 0.0000 0.0000
-2.0222 3.5025 0.0000
0.0000 0.0000 2.5441
Fe Ni Rh
1 1 1
Direct
0.0000 0.0000 0.0000 Fe
0.3333 0.6667 0.1031 Ni
0.6667 0.3333 0.5747 Rh
```

=====

Entry 2:
# HgGe2IrW

A PBEsol-optimized structure of HgGe2IrW (meta-GGA SCAN, the Alexandria database).

Properties
E_tot, eV per atom: -48.13
Magnetic moment, μB per cell: 4.21
Symmetry: No. 123

Geometry as POSCAR:
```
HgGe2IrW
1.0
4.6337 0.0000 0.0000
0.0000 4.6337 0.0000
0.0000 0.0000 5.1719
Hg Ge Ir W
1 2 1 1
Direct
0.0000 0.0000 0.0000 Hg
0.0000 0.5000 0.5000 Ge
0.5000 0.0000 0.5000 Ge
0.0000 0.0000 0.5000 Ir
0.5000 0.5000 0.0000 W
```

=====

Entry 3:
# Y3TaSn

A PBEsol-optimized structure of Y3TaSn (meta-GGA SCAN, the Alexandria database).

Properties
E_tot, eV per atom: -36.77
Magnetic moment, μB per cell: 0.00
Symmetry: No. 221

Geometry as POSCAR:
```
Y3TaSn
1.0
5.3193 0.0000 0.0000
0.0000 5.3193 0.0000
0.0000 0.0000 5.3193
Y Ta Sn
3 1 1
Direct
0.0000 0.0000 0.5000 Y
0.0000 0.5000 0.0000 Y
0.5000 0.0000 0.0000 Y
0.0000 0.0000 0.0000 Ta
0.5000 0.5000 0.5000 Sn
```

=====

Entry 4:
# LaSb2Rh

A PBEsol-optimized structure of LaSb2Rh (meta-GGA SCAN, the Alexandria database).

Properties
E_tot, eV per atom: -38.45
Magnetic moment, μB per cell: 0.00
Symmetry: No. 71

Geometry as POSCAR:
```
LaSb2Rh
1.0
-1.6915 2.7892 4.9756
1.6915 -2.7892 4.9756
1.6915 2.7892 -4.9756
La Sb Rh
1 2 1
Direct
0.0000 0.0000 0.0000 La
0.2946 0.7946 0.5000 Sb
0.7054 0.2054 0.5000 Sb
0.5000 0.5000 0.0000 Rh
```

=====

Entry 5:
# La6Si3Ni2

A PBEsol-optimized structure of La6Si3Ni2 (meta-GGA SCAN, the Alexandria database).

Properties
E_tot, eV per atom: -29.70
Magnetic moment, μB per cell: 0.00
Symmetry: No. 6

Geometry as POSCAR:
```
La6Si3Ni2
1.0
11.6174 0.0000 0.0000
0.0000 4.5219 0.0000
-5.7396 0.0000 10.2207
La Si Ni
12 6 4
Direct
0.0000 0.0000 0.0000 La
0.0047 0.5000 0.2296 La
0.1684 0.0000 0.5504 La
0.2380 0.0000 0.8863 La
0.2847 0.5000 0.1497 La
0.3872 0.5000 0.5017 La
0.5281 0.0000 0.7895 La
0.5371 0.5000 0.0174 La
0.6317 0.5000 0.3871 La
0.7675 0.5000 0.7781 La
0.7867 0.0000 0.2442 La
0.8957 0.0000 0.6197 La
0.1011 0.5000 0.6904 Si
0.2075 0.0000 0.2994 Si
0.4350 0.0000 0.3476 Si
0.4892 0.0000 0.1725 Si
0.6083 0.0000 0.5717 Si
0.9363 0.5000 0.4537 Si
0.0466 0.5000 0.8595 Ni
0.3276 0.5000 0.7520 Ni
0.7653 0.2487 0.0032 Ni
0.7653 0.7513 0.0032 Ni
```

=====

Entry 6:
# LiCdFeOs2

A PBEsol-optimized structure of LiCdFeOs2 (meta-GGA SCAN, the Alexandria database).

Properties
E_tot, eV per atom: -36.45
Magnetic moment, μB per cell: 6.80
Symmetry: No. 123

Geometry as POSCAR:
```
LiCdFeOs2
1.0
4.8859 0.0000 0.0000
0.0000 4.8859 0.0000
0.0000 0.0000 4.6790
Li Cd Fe Os
1 1 1 2
Direct
0.0000 0.0000 0.0000 Li
0.5000 0.5000 0.5000 Cd
0.5000 0.5000 0.0000 Fe
0.0000 0.5000 0.5000 Os
0.5000 0.0000 0.5000 Os
```

=====

Entry 7:
# Ca2SiIr

A PBEsol-optimized structure of Ca2SiIr (meta-GGA SCAN, the Alexandria database).

Properties
E_tot, eV per atom: -25.64
Magnetic moment, μB per cell: 0.00
Symmetry: No. 44

Geometry as POSCAR:
```
Ca2SiIr
1.0
-1.9373 2.4559 4.5814
1.9373 -2.4559 4.5814
1.9373 2.4559 -4.5814
Ca Si Ir
2 1 1
Direct
0.0000 0.0000 0.0000 Ca
0.7020 0.2020 0.5000 Ca
0.4240 0.4240 0.0000 Si
0.2937 0.7937 0.5000 Ir
```

=====

Entry 8:
# ReNiP2

A PBEsol-optimized structure of ReNiP2 (meta-GGA SCAN, the Alexandria database).

Properties
E_tot, eV per atom: -26.66
Magnetic moment, μB per cell: 0.00
Symmetry: No. 119

Geometry as POSCAR:
```
ReNiP2
1.0
-1.7316 1.7316 4.1494
1.7316 -1.7316 4.1494
1.7316 1.7316 -4.1494
Re Ni P
1 1 2
Direct
0.0000 0.0000 0.0000 Re
0.7500 0.2500 0.5000 Ni
0.2500 0.7500 0.5000 P
0.5000 0.5000 0.0000 P
```

=====

Entry 9:
# CoSi3

A PBEsol-optimized structure of CoSi3 (meta-GGA SCAN, the Alexandria database).

Properties
E_tot, eV per atom: -11.72
Magnetic moment, μB per cell: 0.01
Symmetry: No. 123

Geometry as POSCAR:
```
CoSi3
1.0
2.6672 0.0000 0.0000
0.0000 2.6672 0.0000
0.0000 0.0000 6.8144
Co Si
1 3
Direct
0.0000 0.0000 0.0000 Co
0.0000 0.0000 0.5000 Si
0.5000 0.5000 0.2154 Si
0.5000 0.5000 0.7846 Si
```

=====

Entry 10:
# AlFeCl2

A PBEsol-optimized structure of AlFeCl2 (meta-GGA SCAN, the Alexandria database).

Properties
E_tot, eV per atom: -10.88
Magnetic moment, μB per cell: 2.99
Symmetry: No. 8

Geometry as POSCAR:
```
AlFeCl2
1.0
4.5298 -1.5188 0.0000
4.5298 1.5188 0.0000
-2.5074 0.0000 6.0309
Al Fe Cl
1 1 2
Direct
0.0000 0.0000 0.0000 Al
0.2577 0.2577 0.9056 Fe
0.5876 0.5876 0.6628 Cl
0.7387 0.7387 0.2135 Cl
```

=====

Entry 11:
# Y2CoSe

A PBEsol-optimized structure of Y2CoSe (meta-GGA SCAN, the Alexandria database).

Properties
E_tot, eV per atom: -24.02
Magnetic moment, μB per cell: 1.40
Symmetry: No. 123

Geometry as POSCAR:
```
Y2CoSe
1.0
4.8522 0.0000 0.0000
0.0000 4.8522 0.0000
0.0000 0.0000 3.3782
Y Co Se
2 1 1
Direct
0.0000 0.5000 0.0000 Y
0.5000 0.0000 0.0000 Y
0.0000 0.0000 0.5000 Co
0.5000 0.5000 0.5000 Se
```

=====

Entry 12:
# Mg2TlFe

A PBEsol-optimized structure of Mg2TlFe (meta-GGA SCAN, the Alexandria database).

Properties
E_tot, eV per atom: -24.95
Magnetic moment, μB per cell: 2.75
Symmetry: No. 65

Geometry as POSCAR:
```
Mg2TlFe
1.0
2.9908 -4.0242 0.0000
2.9908 4.0242 0.0000
0.0000 0.0000 3.1193
Mg Tl Fe
2 1 1
Direct
0.0000 0.5000 0.0000 Mg
0.5000 0.0000 0.0000 Mg
0.0000 0.0000 0.5000 Tl
0.5000 0.5000 0.5000 Fe
```